[1]
# TlAgTe, optimized geometry, DFT PBE
data_TlAgTe
_chemical_formula_sum 'Tl2 Ag2 Te2'
_space_group_name_H-M_alt 'P 63 m c'
_space_group_IT_number 186
_space_group_name_Hall 'P 6c -2c'
_cell_length_a 4.8870
_cell_length_b 4.8870
_cell_length_c 9.9819
_cell_angle_alpha 90.00
_cell_angle_beta 90.00
_cell_angle_gamma 120.00
loop_
_atom_site_label
_atom_site_fract_x
_atom_site_fract_y
_atom_site_fract_z
Tl1 0.3333 0.6667 0.0000
Ag1 0.0000 0.0000 0.3058
Te1 0.3333 0.6667 0.3239
# mass density = 7.1 g/cm3
# excess energy over the best structure of this formula in the dataset = 89 meV/atom


[2]
# Sc2Cd3Mo4C3, optimized geometry, DFT PBE
data_Sc2Cd3Mo4C3
_chemical_formula_sum 'Sc8 Cd12 Mo16 C12'
_space_group_name_H-M_alt 'C 1 2/c 1'
_space_group_IT_number 15
_cell_length_a 9.584
_cell_length_b 5.558
_cell_length_c 14.496
_cell_angle_alpha 90.00
_cell_angle_beta 103.36
_cell_angle_gamma 90.00
loop_
_space_group_symop_operation_xyz
'x,y,z'
'-x,-y,-z'
'-x,y,-z+1/2'
'x,-y,z+1/2'
'x+1/2,y+1/2,z'
'-x+1/2,-y+1/2,-z'
'-x+1/2,y+1/2,-z+1/2'
'x+1/2,-y+1/2,z+1/2'
loop_
_atom_site_label
_atom_site_fract_x
_atom_site_fract_y
_atom_site_fract_z
Sc1 0.044 0.079 0.401
Cd1 0.000 0.483 0.750
Cd2 0.218 0.134 0.752
Mo1 0.108 0.405 0.572
Mo2 0.231 0.423 0.928
C1 0.084 0.252 0.000
C2 0.250 0.250 0.500
# mass density = 7.5 g/cm3
# raw total energy = -7.422 eV/atom


[3]
# Ho2TmSc3Sb2Os, optimized geometry, DFT PBE
data_Ho2TmSc3Sb2Os
_chemical_formula_sum 'Ho4 Tm2 Sc6 Sb4 Os2'
_space_group_name_H-M_alt 'A m m 2'
_space_group_IT_number 38
_cell_length_a 4.169
_cell_length_b 13.500
_cell_length_c 7.798
_cell_angle_alpha 90.00
_cell_angle_beta 90.00
_cell_angle_gamma 90.00
loop_
_space_group_symop_operation_xyz
'x,y,z'
'-x,-y,z'
'-x,y,z'
'x,-y,z'
'x,y+1/2,z+1/2'
'-x,-y+1/2,z+1/2'
'-x,y+1/2,z+1/2'
'x,-y+1/2,z+1/2'
loop_
_atom_site_label
_atom_site_fract_x
_atom_site_fract_y
_atom_site_fract_z
Ho1 0.000 0.196 0.000
Tm1 0.000 0.000 0.588
Sc1 0.500 0.000 0.969
Sc2 0.500 0.115 0.311
Sb1 0.500 0.166 0.696
Os1 0.000 0.000 0.200
# mass density = 8.1 g/cm3
# raw total energy = -6.528 eV/atom


[4]
# RbYPd, optimized geometry, DFT PBE
data_RbYPd
_chemical_formula_sum 'Rb4 Y4 Pd4'
_space_group_name_H-M_alt 'F -4 3 m'
_space_group_IT_number 216
_space_group_name_Hall 'F -4 2 3'
_cell_length_a 7.269
_cell_length_b 7.269
_cell_length_c 7.269
_cell_angle_alpha 90.00
_cell_angle_beta 90.00
_cell_angle_gamma 90.00
loop_
_atom_site_label
_atom_site_fract_x
_atom_site_fract_y
_atom_site_fract_z
Rb1 0.000 0.000 0.000
Y1 0.000 0.000 0.500
Pd1 0.250 0.250 0.250
# mass density = 4.9 g/cm3
# raw total energy = -3.994 eV/atom


[5]
# HfCuPt, optimized geometry, DFT PBE
data_HfCuPt
_chemical_formula_sum 'Hf2 Cu2 Pt2'
_space_group_name_H-M_alt 'P 4/m m m'
_space_group_IT_number 123
_space_group_name_Hall '-P 4 2'
_cell_length_a 3.397
_cell_length_b 3.397
_cell_length_c 8.442
_cell_angle_alpha 90.00
_cell_angle_beta 90.00
_cell_angle_gamma 90.00
loop_
_atom_site_label
_atom_site_fract_x
_atom_site_fract_y
_atom_site_fract_z
Hf1 0.000 0.000 0.000
Hf2 0.500 0.500 0.500
Cu1 0.000 0.000 0.339
Pt1 0.500 0.500 0.174
# mass density = 14.9 g/cm3
# excess energy over the best structure of this formula in the dataset = 39 meV/atom
# formation energy from the elements = -720 meV/atom


[6]
# HfHgGe, optimized geometry, DFT PBE
data_HfHgGe
_chemical_formula_sum 'Hf4 Hg4 Ge4'
_space_group_name_H-M_alt 'F -4 3 m'
_space_group_IT_number 216
_space_group_name_Hall 'F -4 2 3'
_cell_length_a 6.588
_cell_length_b 6.588
_cell_length_c 6.588
_cell_angle_alpha 90.00
_cell_angle_beta 90.00
_cell_angle_gamma 90.00
loop_
_atom_site_label
_atom_site_fract_x
_atom_site_fract_y
_atom_site_fract_z
Hf1 0.000 0.000 0.000
Hg1 0.250 0.250 0.250
Ge1 0.250 0.250 0.750
# mass density = 10.5 g/cm3
# excess energy over the best structure of this formula in the dataset = 0 meV/atom


[7]
# LuCoCuPb, optimized geometry, DFT PBE
data_LuCoCuPb
_chemical_formula_sum 'Lu4 Co4 Cu4 Pb4'
_space_group_name_H-M_alt 'F -4 3 m'
_space_group_IT_number 216
_space_group_name_Hall 'F -4 2 3'
_cell_length_a 6.692
_cell_length_b 6.692
_cell_length_c 6.692
_cell_angle_alpha 90.00
_cell_angle_beta 90.00
_cell_angle_gamma 90.00
loop_
_atom_site_label
_atom_site_fract_x
_atom_site_fract_y
_atom_site_fract_z
Lu1 0.000 0.000 0.000
Co1 0.250 0.250 0.750
Cu1 0.000 0.000 0.500
Pb1 0.250 0.250 0.250
# mass density = 11.2 g/cm3
# excess energy over the best structure of this formula in the dataset = 248 meV/atom


[8]
# Pr2I2BrN, optimized geometry, DFT PBE
data_Pr2I2BrN
_chemical_formula_sum 'Pr8 I8 Br4 N4'
_space_group_name_H-M_alt 'C 1 2/m 1'
_space_group_IT_number 12
_cell_length_a 20.227
_cell_length_b 4.134
_cell_length_c 12.624
_cell_angle_alpha 90.00
_cell_angle_beta 127.06
_cell_angle_gamma 90.00
loop_
_space_group_symop_operation_xyz
'x,y,z'
'-x,-y,-z'
'-x,y,-z'
'x,-y,z'
'x+1/2,y+1/2,z'
'-x+1/2,-y+1/2,-z'
'-x+1/2,y+1/2,-z'
'x+1/2,-y+1/2,z'
loop_
_atom_site_label
_atom_site_fract_x
_atom_site_fract_y
_atom_site_fract_z
Pr1 0.071 0.000 0.462
Pr2 0.137 0.500 0.785
I1 0.032 0.500 0.235
I2 0.223 0.500 0.633
Br1 0.174 0.000 0.002
N1 0.074 0.000 0.652
# mass density = 5.0 g/cm3
# excess energy over the best structure of this formula in the dataset = 11 meV/atom